# 1
This record from the Alexandria database describes an optimized crystal structure of Ca2BPPd6. The functional is PBE.

Cell: 5.8830 6.7638 5.8881 Å, 64.01 60.03 90.00°
Positions (direct):
Ca  0.7243  0.1766  0.5514
Ca  0.2757  0.8234  0.4486
B  0.5000  0.5000  0.0000
P  0.0000  0.0000  0.0000
Pd  0.2607  0.3066  0.4787
Pd  0.7409  0.6956  0.0410
Pd  0.2182  0.6956  0.0409
Pd  0.7818  0.3044  0.9591
Pd  0.2591  0.3044  0.9590
Pd  0.7393  0.6934  0.5213

Properties
Symmetry   C2/m, No. 12
ΔH_f (0 K)   -0.66 eV/atom


# 2
This record from the Alexandria database describes an optimized crystal structure of DyAsClO4. The functional is PBE.

Cell: 6.4627 6.4627 6.8192 Å, 79.35 79.35 61.99°
Positions (direct):
Dy  0.2914  0.2914  0.8439
Dy  0.7086  0.7086  0.1561
As  0.6472  0.6472  0.7195
As  0.3528  0.3528  0.2805
Cl  0.0262  0.0262  0.1309
Cl  0.9738  0.9738  0.8691
O  0.2791  0.2791  0.5243
O  0.7209  0.7209  0.4757
O  0.1110  0.4978  0.1436
O  0.5095  0.5095  0.2485
O  0.5022  0.8890  0.8564
O  0.4978  0.1110  0.1436
O  0.4905  0.4905  0.7515
O  0.8890  0.5022  0.8564

Properties
Symmetry   C2/m, No. 12
Formation energy without anion corrections   -1.9190 eV/atom


# 3
This record from the Alexandria database describes an optimized crystal structure of Zn4Cu3Pt2. The functional is PBE.

Cell: 3.8324 4.5534 8.0934 Å, 75.90 89.96 65.34°
Positions (direct):
Zn  0.6651  0.6715  0.8875
Zn  0.0081  0.9844  0.3402
Zn  0.9919  0.0156  0.6598
Zn  0.3349  0.3285  0.1125
Cu  0.3350  0.3300  0.4426
Cu  0.0000  0.0000  0.0000
Cu  0.6650  0.6700  0.5574
Pt  0.3328  0.3354  0.7804
Pt  0.6672  0.6646  0.2196

Properties
Symmetry   P-1, No. 2
ΔH_f (0 K)   -0.31 eV/atom


# 4
This record from the Alexandria database describes an optimized crystal structure of LiY3Pt3. The functional is PBE.

Cell: 6.8148 6.8148 6.7246 Å, 90.02 90.02 88.97°
Positions (direct):
Li  0.2255  0.2255  0.0002
Li  0.7745  0.7745  0.9998
Y  0.2494  0.2494  0.5006
Y  0.2432  0.7568  0.5000
Y  0.7568  0.2432  0.5000
Y  0.2639  0.7361  0.0000
Y  0.7361  0.2639  0.0000
Y  0.7506  0.7506  0.4994
Pt  0.9998  0.9998  0.7603
Pt  0.4998  0.0002  0.2426
Pt  0.0002  0.4998  0.2426
Pt  0.5002  0.9998  0.7574
Pt  0.9998  0.5002  0.7574
Pt  0.0002  0.0002  0.2397

Properties
Symmetry   C2/m, No. 12
ΔH_f (0 K)   -0.90 eV/atom


| no. | raw total energy (eV per atom) |
| --- | --- |
| 1 | -5.388 |
| 2 | -6.338 |
| 3 | -3.589 |
| 4 | -6.529 |